No. 1
Compound: KCuH6Pt
Source: Alexandria via LeMat-Bulk
Functional: GGA-PBE
Structure: relaxed

Lattice parameters (Å, degrees): 4.7580 4.7580 5.5909 90.00 90.00 120.00
Closest atoms and distances in Å follow each position.
Fractional coordinates of all 9 atoms:
K  0.0000  0.0000  0.0000  6 H 2.58
Cu  0.3333  0.6667  0.5000  6 H 1.85
H  0.3855  0.0261  0.6642  1 Pt 1.68, 1 Cu 1.85
H  0.3855  0.3595  0.3358  1 Pt 1.68, 1 Cu 1.85
H  0.6405  0.0261  0.3358  1 Pt 1.68, 1 Cu 1.85
H  0.6405  0.6145  0.6642  1 Pt 1.68, 1 Cu 1.85
H  0.9739  0.3595  0.6642  1 Pt 1.68, 1 Cu 1.85
H  0.9739  0.6145  0.3358  1 Pt 1.68, 1 Cu 1.85
Pt  0.6667  0.3333  0.5000  6 H 1.68

Computed properties:
Its symmetry is P312, No. 149. As for the total energy: -3.67 eV per atom. Its theoretical density is 4.6 g/cm3.



No. 2
Compound: K2Rb2CuH4
Source: Alexandria via LeMat-Bulk
Functional: GGA-PBE
Structure: relaxed

Lattice parameters (Å, degrees): 6.6743 6.6743 6.6743 115.38 115.38 98.21
Closest atoms and distances in Å follow each position.
Fractional coordinates of all 9 atoms:
K  0.1848  0.1848  0.0000  1 Cu 2.75
K  0.8152  0.8152  0.0000  1 Cu 2.75
Rb  0.2500  0.7500  0.5000  8 H 3.43, 4 K 3.61
Rb  0.7500  0.2500  0.5000  8 H 3.43, 4 K 3.61
Cu  0.5000  0.5000  0.0000  4 H 1.75
H  0.3270  0.3270  0.6540  1 Cu 1.75
H  0.3270  0.6730  0.0000  1 Cu 1.75
H  0.6730  0.3270  0.0000  1 Cu 1.75
H  0.6730  0.6730  0.3460  1 Cu 1.75

Computed properties:
Its symmetry is I4/mmm, No. 139. As for the total energy: -2.20 eV per atom. Its theoretical density is 2.4 g/cm3.



No. 3
Compound: K3Rb4CuH8
Source: Alexandria via LeMat-Bulk
Functional: GGA-PBE
Structure: relaxed

Lattice parameters (Å, degrees): 8.2673 8.2673 7.7930 117.32 117.32 55.09
Closest atoms and distances in Å follow each position.
Fractional coordinates of all 16 atoms:
K  0.0000  0.0000  0.0000  6 H 2.82-3.09
K  0.0000  0.5000  0.5000  4 H 2.66-2.71
K  0.5000  0.0000  0.5000  4 H 2.66-2.71
Rb  0.0000  0.0000  0.5000  2 H 2.63
Rb  0.0000  0.5000  0.0000  4 H 2.80-2.85
Rb  0.5000  0.0000  0.0000  4 H 2.80-2.85
Rb  0.5000  0.5000  0.5000  6 H 2.90-3.18
Cu  0.5000  0.5000  0.0000  4 H 1.88
H  0.2093  0.2093  0.6973  3 Rb 2.63-2.85, 2 K 2.71
H  0.2463  0.2463  0.2586  2 K 2.66, 2 Rb 2.80
H  0.3253  0.6740  0.1688  1 Cu 1.88
H  0.3260  0.6747  0.8312  1 Cu 1.88
H  0.6740  0.3253  0.1688  1 Cu 1.88
H  0.6747  0.3260  0.8312  1 Cu 1.88
H  0.7537  0.7537  0.7414  2 K 2.66, 2 Rb 2.80
H  0.7907  0.7907  0.3027  3 Rb 2.63-2.85, 2 K 2.71

Computed properties:
Its symmetry is C2/m, No. 12. As for the total energy: -2.41 eV per atom. Its theoretical density is 2.4 g/cm3.



No. 4
Compound: KCuH6Rh
Source: Alexandria via LeMat-Bulk
Functional: GGA-PBE
Structure: relaxed

Lattice parameters (Å, degrees): 4.6842 4.6842 5.4791 90.00 90.00 120.00
Closest atoms and distances in Å follow each position.
Fractional coordinates of all 9 atoms:
K  0.0000  0.0000  0.0000  6 H 2.67
Cu  0.3333  0.6667  0.5000  6 H 1.77
H  0.4429  0.0135  0.6877  1 Rh 1.68, 1 Cu 1.77
H  0.4429  0.4294  0.3123  1 Rh 1.68, 1 Cu 1.77
H  0.5706  0.0135  0.3123  1 Rh 1.68, 1 Cu 1.77
H  0.5706  0.5571  0.6877  1 Rh 1.68, 1 Cu 1.77
H  0.9865  0.4294  0.6877  1 Rh 1.68, 1 Cu 1.77
H  0.9865  0.5571  0.3123  1 Rh 1.68, 1 Cu 1.77
Rh  0.6667  0.3333  0.5000  6 H 1.68

Computed properties:
Its symmetry is P312, No. 149. As for the total energy: -3.69 eV per atom. Its theoretical density is 3.4 g/cm3.



No. 5
Compound: KCu2H8Rh3
Source: Alexandria via LeMat-Bulk
Functional: GGA-PBE
Structure: relaxed

Lattice parameters (Å, degrees): 5.6684 5.6684 5.6684 60.71 60.71 60.71
Closest atoms and distances in Å follow each position.
Fractional coordinates of all 14 atoms:
K  0.0000  0.0000  0.0000  4 H 2.20-2.24
Cu  0.2494  0.2494  0.2494  4 H 1.79-1.91
Cu  0.6212  0.6212  0.6212  6 H 1.89-2.09
H  0.3623  0.3623  0.8421  2 Rh 1.84, 1 Cu 1.91
H  0.3623  0.8421  0.3623  2 Rh 1.84, 1 Cu 1.91
H  0.3793  0.3793  0.3793  1 Cu 1.79, 3 Rh 1.95
H  0.4789  0.8486  0.8486  2 Rh 1.76, 1 Cu 1.89
H  0.8407  0.8407  0.8407  3 Rh 1.82, 3 H 2.01
H  0.8421  0.3623  0.3623  2 Rh 1.84, 1 Cu 1.91
H  0.8486  0.4789  0.8486  2 Rh 1.76, 1 Cu 1.89
H  0.8486  0.8486  0.4789  2 Rh 1.76, 1 Cu 1.89
Rh  0.1296  0.6213  0.6213  6 H 1.76-1.95
Rh  0.6213  0.1296  0.6213  6 H 1.76-1.95
Rh  0.6213  0.6213  0.1296  6 H 1.76-1.95

Computed properties:
Its symmetry is R3m, No. 160. As for the total energy: -4.15 eV per atom. Its theoretical density is 6.1 g/cm3.



No. 6
Compound: KCuH2Ru
Source: Alexandria via LeMat-Bulk
Functional: GGA-PBE
Structure: relaxed

Lattice parameters (Å, degrees): 3.8989 3.8989 6.6227 90.00 90.00 90.00
Closest atoms and distances in Å follow each position.
Fractional coordinates of all 5 atoms:
K  0.0000  0.0000  0.0000  4 H 1.95
Cu  0.5000  0.5000  0.5000  4 Ru 2.76
H  0.0000  0.5000  0.0000  2 K 1.95
H  0.5000  0.0000  0.0000  2 K 1.95
Ru  0.0000  0.0000  0.5000  4 Cu 2.76

Computed properties:
Its symmetry is P4/mmm, No. 123. As for the total energy: -2.46 eV per atom. Its theoretical density is 3.4 g/cm3.



No. 7
Compound: KCuH6Ru
Source: Alexandria via LeMat-Bulk
Functional: GGA-PBE
Structure: relaxed

Lattice parameters (Å, degrees): 4.3086 5.7683 4.3262 90.00 106.65 90.00
Closest atoms and distances in Å follow each position.
Fractional coordinates of all 9 atoms:
K  0.0000  0.0000  0.0000  8 H 2.72-2.83
Cu  0.2845  0.5000  0.7101  6 H 1.77-1.92
H  0.4881  0.3017  0.0123  1 Ru 1.72, 1 Cu 1.77
H  0.4881  0.6983  0.0123  1 Ru 1.72, 1 Cu 1.77
H  0.5226  0.3358  0.4656  1 Ru 1.60
H  0.5226  0.6642  0.4656  1 Ru 1.60
H  0.9797  0.3014  0.5093  1 Ru 1.72, 1 Cu 1.77
H  0.9797  0.6986  0.5093  1 Ru 1.72, 1 Cu 1.77
Ru  0.7116  0.5000  0.2825  6 H 1.60-1.72

Computed properties:
Its symmetry is Pm, No. 6. As for the total energy: -3.86 eV per atom. Its theoretical density is 3.4 g/cm3.



No. 8
Compound: KCu2HS
Source: Alexandria via LeMat-Bulk
Functional: GGA-PBE
Structure: relaxed

Lattice parameters (Å, degrees): 4.2406 4.2406 6.6834 90.00 90.00 90.00
Closest atoms and distances in Å follow each position.
Fractional coordinates of all 5 atoms:
K  0.0000  0.0000  0.0000  4 H 3.00, 2 S 3.34
Cu  0.0000  0.5000  0.5000  2 S 2.12
Cu  0.5000  0.0000  0.5000  2 S 2.12
H  0.5000  0.5000  0.0000  4 K 3.00
S  0.0000  0.0000  0.5000  4 Cu 2.12

Computed properties:
Its symmetry is P4/mmm, No. 123. As for the total energy: -3.33 eV per atom. Its theoretical density is 2.8 g/cm3.



No. 9
Compound: K2Cu2HSe2
Source: Alexandria via LeMat-Bulk
Functional: GGA-PBE
Structure: relaxed

Lattice parameters (Å, degrees): 6.0603 6.0603 7.7452 122.28 122.28 40.34
Closest atoms and distances in Å follow each position.
Fractional coordinates of all 7 atoms:
K  0.0532  0.0532  0.3185  2 H 3.02, 3 Se 3.20-3.33, 2 Cu 3.35
K  0.9468  0.9468  0.6815  2 H 3.02, 3 Se 3.20-3.33, 2 Cu 3.35
Cu  0.3279  0.3279  0.9307  1 H 1.71
Cu  0.6721  0.6721  0.0693  1 H 1.71
H  0.5000  0.5000  0.0000  2 Cu 1.71
Se  0.2978  0.2978  0.2349  3 Cu 2.44-2.57
Se  0.7022  0.7022  0.7651  3 Cu 2.44-2.57

Computed properties:
Its symmetry is C2/m, No. 12. As for the total energy: -3.47 eV per atom. Its theoretical density is 4.0 g/cm3.



No. 10
Compound: K2CuHSe2
Source: Alexandria via LeMat-Bulk
Functional: GGA-PBE
Structure: relaxed

Lattice parameters (Å, degrees): 8.1993 8.1993 8.1993 133.21 66.35 135.75
Closest atoms and distances in Å follow each position.
Fractional coordinates of all 12 atoms:
K  0.1566  0.2139  0.3705  2 H 2.99, 4 Se 3.20-3.34, 2 Cu 3.24
K  0.3434  0.7139  0.0573  2 H 2.99, 4 Se 3.20-3.34, 2 Cu 3.24
K  0.6566  0.2861  0.9427  2 H 2.99, 4 Se 3.20-3.34, 2 Cu 3.24
K  0.8434  0.7861  0.6295  2 H 2.99, 4 Se 3.20-3.34, 2 Cu 3.24
Cu  0.2500  0.7500  0.5000  4 Se 2.52
Cu  0.7500  0.2500  0.5000  4 Se 2.52
H  0.2500  0.2500  0.0000  4 Se 2.56
H  0.7500  0.7500  0.0000  4 Se 2.56
Se  0.0862  0.7455  0.8318  2 Cu 2.52, 2 H 2.56
Se  0.4138  0.2455  0.6593  2 Cu 2.52, 2 H 2.56
Se  0.5862  0.7545  0.3407  2 Cu 2.52, 2 H 2.56
Se  0.9138  0.2545  0.1682  2 Cu 2.52, 2 H 2.56

Computed properties:
Its symmetry is Ibam, No. 72. As for the total energy: -3.10 eV per atom. Its theoretical density is 3.6 g/cm3.



No. 11
Compound: KCuSiH6
Source: Alexandria via LeMat-Bulk
Functional: GGA-PBE
Structure: relaxed

Lattice parameters (Å, degrees): 4.5830 4.5830 5.6920 90.00 90.00 120.00
Closest atoms and distances in Å follow each position.
Fractional coordinates of all 9 atoms:
K  0.0000  0.0000  0.0000  6 H 2.54
Cu  0.3333  0.6667  0.5000  6 H 1.84
Si  0.6667  0.3333  0.5000  6 H 1.64
H  0.3808  0.0332  0.6639  1 Si 1.64
H  0.3808  0.3476  0.3361  1 Si 1.64
H  0.6524  0.0332  0.3361  1 Si 1.64
H  0.6524  0.6192  0.6639  1 Si 1.64
H  0.9668  0.3476  0.6639  1 Si 1.64
H  0.9668  0.6192  0.3361  1 Si 1.64

Computed properties:
Its symmetry is P312, No. 149. As for the total energy: -3.34 eV per atom. Its theoretical density is 2.2 g/cm3.



No. 12
Compound: K2Cu2SnH6
Source: Alexandria via LeMat-Bulk
Functional: GGA-PBE
Structure: relaxed

Lattice parameters (Å, degrees): 5.7765 5.7765 6.3866 112.17 112.17 59.41
Closest atoms and distances in Å follow each position.
Fractional coordinates of all 11 atoms:
K  0.2224  0.2224  0.1792  9 H 2.87-3.09
K  0.7776  0.7776  0.8208  9 H 2.87-3.09
Cu  0.4309  0.4309  0.7805  3 H 1.62-1.64
Cu  0.5691  0.5691  0.2195  3 H 1.62-1.64
Sn  0.0000  0.0000  0.5000  6 H 2.26
H  0.2436  0.7245  0.2225  1 Cu 1.62
H  0.2497  0.2497  0.6800  1 Cu 1.64
H  0.2755  0.7564  0.7775  1 Cu 1.62
H  0.7245  0.2436  0.2225  1 Cu 1.62
H  0.7503  0.7503  0.3200  1 Cu 1.64
H  0.7564  0.2755  0.7775  1 Cu 1.62

Computed properties:
Its symmetry is C2/m, No. 12. As for the total energy: -3.07 eV per atom. Its theoretical density is 3.3 g/cm3.